DFT (SCAN) results for a PBEsol-optimized structure of Tl2Te.

Output
The calculation puts the polymorph energy (0 for the lowest one) at 26 meV/atom. As for the total energy: -60.925 eV/atom.

Cell lengths 5.1234, 7.0045, 10.6516 Å; angles 90.00, 90.00, 90.00 degrees
With the nearest neighbours (Å) after each atom.
Fractional coordinates of all 12 atoms:
Te 0.7500 0.7760 0.0846  7 Tl 3.24-3.43
Te 0.2500 0.7240 0.5846  7 Tl 3.24-3.43
Te 0.7500 0.2760 0.4154  7 Tl 3.24-3.43
Te 0.2500 0.2240 0.9154  7 Tl 3.24-3.43
Tl 0.7500 0.4821 0.6967  3 Te 3.30-3.33, 6 Tl 3.47-3.68
Tl 0.2500 0.0179 0.1967  3 Te 3.30-3.33, 6 Tl 3.47-3.68
Tl 0.7500 0.9821 0.8033  3 Te 3.30-3.33, 6 Tl 3.47-3.68
Tl 0.2500 0.5179 0.3033  3 Te 3.30-3.33, 6 Tl 3.47-3.68
Tl 0.7500 0.3142 0.0943  4 Te 3.24-3.43, 2 Tl 3.47
Tl 0.2500 0.1858 0.5943  4 Te 3.24-3.43, 2 Tl 3.47
Tl 0.7500 0.8142 0.4057  4 Te 3.24-3.43, 2 Tl 3.47
Tl 0.2500 0.6858 0.9057  4 Te 3.24-3.43, 2 Tl 3.47



DFT (SCAN) results for a PBEsol-optimized structure of SrLa3Ru.

Output
Its energy of formation from the pure elements is -171.8 meV per atom. As for the total energy: -37.455 eV/atom.

Cell lengths 5.6063, 5.6063, 5.6063 Å; angles 90.00, 90.00, 90.00 degrees
With the nearest neighbours (Å) after each atom.
Fractional coordinates of all 5 atoms:
Ru 0.0000 0.0000 0.0000  6 La 2.80
Sr 0.5000 0.5000 0.5000  12 La 3.96
La 0.0000 0.5000 0.0000  2 Ru 2.80
La 0.0000 0.0000 0.5000  2 Ru 2.80
La 0.5000 0.0000 0.0000  2 Ru 2.80



DFT (SCAN) results for a PBEsol-optimized structure of LiBe4Al.

Output
Its energy of formation from the pure elements is -39.1 meV per atom. As for the total energy: -4.632 eV/atom.

Cell lengths 4.3722, 4.3722, 4.3722 Å; angles 60.00, 60.00, 60.00 degrees
With the nearest neighbours (Å) after each atom.
Fractional coordinates of all 6 atoms:
Be 0.3752 0.3752 0.3752  6 Be 2.18-2.19
Be 0.3752 0.3752 0.8744  6 Be 2.18-2.19
Be 0.8744 0.3752 0.3752  6 Be 2.18-2.19
Be 0.3752 0.8744 0.3752  6 Be 2.18-2.19
Al 0.0000 0.0000 0.0000  12 Be 2.56, 4 Li 2.68
Li 0.7500 0.7500 0.7500  12 Be 2.56, 4 Al 2.68